[1]
## SrCdCu (PBEsol)

Data for a relaxed structure of SrCdCu.

```
SrCdCu
1.0
-1.3400 0.1244 -4.0061
1.8406 -4.1027 -0.7431
-4.3073 0.3363 1.4513
Sr Cu Cd
1 1 1
Direct
0.5000 0.3333 0.6667
0.0000 0.6667 0.3333
0.0000 0.0000 0.0000
```

Its energy of formation from the pure elements is -121 meV per atom. The value obtained for the energy is -2.578 eV/atom. Its space-group type is P-6m2. The calculation puts the total magnetization at 0.0000 μB per atom.



[2]
## SrCdCu2 (PBEsol)

Data for a relaxed structure of SrCdCu2.

```
SrCdCu2
1.0
4.3132 0.0000 0.0000
2.1566 3.7353 0.0000
2.1566 1.2451 5.4627
Sr Cu Cd
1 2 1
Direct
0.5120 0.5120 0.4639
0.9811 0.9811 0.0567
0.3106 0.3106 0.0681
0.7064 0.7064 0.8807
```

Its energy of formation from the pure elements is -53 meV per atom. The value obtained for the energy is -2.980 eV/atom. Its space-group type is R3m. The calculation puts the total magnetization at 0.0000 μB per atom.



[3]
## SrCdCu2 (PBEsol)

Data for a relaxed structure of SrCdCu2.

```
SrCdCu2
1.0
4.3976 0.0000 0.0000
0.0000 4.3976 0.0000
-2.1988 -2.1988 4.1553
Cd Cu Sr
1 2 1
Direct
0.2500 0.7500 0.5000
0.0000 0.0000 0.0000
0.7500 0.2500 0.5000
0.5000 0.5000 0.0000
```

Its energy of formation from the pure elements is 212 meV per atom. The value obtained for the energy is -2.714 eV/atom. Its space-group type is I-4m2. The calculation puts the total magnetization at 0.0000 μB per atom.



[4]
## SrCd3Cu (PBEsol)

Data for a relaxed structure of SrCd3Cu.

```
SrCd3Cu
1.0
-0.8958 -5.2178 -3.1271
3.7724 2.0031 -4.4230
4.7721 -2.5630 2.9094
Sr Cu Cd
1 1 3
Direct
0.0000 0.0000 0.0000
0.5000 0.5000 0.5000
0.0000 0.5000 0.0000
0.0000 0.0000 0.5000
0.5000 0.0000 0.0000
```

Its energy of formation from the pure elements is 1177 meV per atom. The value obtained for the energy is -0.776 eV/atom. Its space-group type is Pm-3m. The calculation puts the total magnetization at 0.0001 μB per atom.



[5]
## Ta2CdCu (PBEsol)

Data for a relaxed structure of Ta2CdCu.

```
Ta2CdCu
1.0
2.7965 0.0343 0.0000
-0.4857 2.7542 0.0000
0.0000 0.0000 8.5927
Cd Cu Ta
1 1 2
Direct
0.0000 0.0000 0.4789
0.5000 0.5000 0.2445
0.0000 0.0000 0.0189
0.5000 0.5000 0.7578
```

Its energy of formation from the pure elements is 99 meV per atom. The value obtained for the energy is -7.559 eV/atom. Its space-group type is Cmm2. The calculation puts the total magnetization at 0.0001 μB per atom.



[6]
## Ta2CdCu (PBEsol)

Data for a relaxed structure of Ta2CdCu.

```
Ta2CdCu
1.0
2.8323 0.0000 0.0000
1.4161 2.4528 0.0000
1.4161 0.8176 9.6540
Cd Cu Ta
1 1 2
Direct
0.5000 0.5000 0.5000
0.0000 0.0000 0.0000
0.2562 0.2562 0.2314
0.7438 0.7438 0.7686
```

Its energy of formation from the pure elements is 313 meV per atom. The value obtained for the energy is -7.346 eV/atom. Its space-group type is R-3m. The calculation puts the total magnetization at 0.0000 μB per atom.